Ho3Mg3Ag2 | GGA-PBE | optimized geometry

```
8
Lattice="3.764 0.000 0.000 0.000 6.820 -3.937 0.000 0.000 7.874" Properties=species:S:1:pos:R:3 pbc="T T T"
Ho 1.882 2.842 1.641
Ho 1.882 3.978 -2.297
Ho 1.882 0.000 4.593
Mg 0.000 5.251 3.032
Mg 0.000 1.569 -0.906
Mg 0.000 0.000 1.811
Ag 0.000 2.273 3.937
Ag 0.000 4.546 0.000
```

Summary:
The formation energy comes out at -0.17 eV/atom. The energy relative to the lowest polymorph listed for this composition comes out at 0.000 eV per atom.



FeSi | GGA-PBE | optimized geometry

```
16
Lattice="6.999 0.000 0.000 0.000 6.999 0.000 0.000 0.000 6.999" Properties=species:S:1:pos:R:3 pbc="T T T"
Fe 2.658 2.658 2.658
Fe 2.658 4.341 4.341
Fe 4.341 2.658 4.341
Fe 4.341 4.341 2.658
Fe 6.157 6.157 6.157
Fe 6.157 0.841 0.841
Fe 0.841 6.157 0.841
Fe 0.841 0.841 6.157
Si 1.365 1.365 1.365
Si 1.365 5.633 5.633
Si 5.633 1.365 5.633
Si 5.633 5.633 1.365
Si 4.864 4.864 4.864
Si 4.864 2.134 2.134
Si 2.134 4.864 2.134
Si 2.134 2.134 4.864
```

Summary:
For the uncorrected formation energy, the calculation gives 1.067 eV per formula unit.



YB3H18N2 | GGA-PBE | optimized geometry

```
192
Lattice="-7.001 0.658 2.824 1.359 -10.430 5.800 7.197 9.616 15.606" Properties=species:S:1:pos:R:3 pbc="T T T"
Y -0.630 -0.491 9.407
Y 4.534 5.265 10.701
Y -0.986 -7.764 8.849
Y 0.190 2.677 19.502
Y 2.184 0.334 14.823
Y -2.980 -5.421 13.528
Y 2.540 7.607 15.380
Y 1.364 -2.833 4.727
B 4.747 1.055 15.719
B -1.900 -6.485 11.163
B -0.001 6.718 14.577
B 0.263 -1.602 6.999
B -3.192 -1.212 8.510
B 3.455 6.328 13.067
B 1.555 -6.874 9.652
B 1.292 1.445 17.230
B 3.169 -0.959 12.886
B -0.742 -4.431 14.165
B 1.623 8.380 17.606
B -0.941 -3.303 3.802
B -1.615 0.802 11.343
B 2.297 4.274 10.065
B -0.068 -8.537 6.623
B 2.496 3.147 20.428
B 0.106 -2.672 10.473
B -0.973 -2.409 17.907
B -2.516 0.520 4.389
B 6.492 4.247 15.690
B 1.449 2.515 13.756
B 2.527 2.252 6.323
B 4.071 -0.677 19.840
B -4.938 -4.404 8.540
H -0.778 3.537 14.463
H 0.302 1.648 7.411
H 6.117 -0.313 18.363
H -2.532 -5.186 8.222
H 2.332 -3.694 9.766
H 1.253 -1.805 16.818
H -4.562 0.156 5.867
H 4.086 5.029 16.008
H 4.709 2.604 12.224
H -1.128 2.200 8.014
H 0.709 0.013 20.939
H -1.181 -5.131 7.282
H -3.154 -2.761 12.005
H 2.682 -2.356 16.215
H 0.845 -0.170 3.290
H 2.735 4.974 16.948
H -1.296 4.310 15.812
H -1.117 1.058 6.844
H 6.617 -0.949 16.938
H -1.095 -4.731 8.865
H 2.850 -4.466 8.417
H 2.672 -1.215 17.386
H -5.063 0.793 7.291
H 2.650 4.575 15.364
H 3.319 -3.618 12.425
H 0.108 -1.866 14.223
H -5.248 -2.229 4.492
H 4.930 7.399 17.319
H -1.765 3.461 11.804
H 1.447 1.710 10.006
H 6.803 2.072 19.738
H -3.376 -7.556 6.910
H 3.204 -4.947 13.377
H -0.416 -0.477 13.529
H -4.771 -3.680 5.086
H 5.092 8.790 16.467
H -1.650 4.790 10.853
H 1.970 0.320 10.701
H 6.325 3.523 19.143
H -3.537 -8.947 7.762
H 1.963 -4.530 12.388
H -0.680 -0.753 15.124
H -3.752 -2.395 5.128
H 5.577 7.364 15.818
H -0.408 4.373 11.841
H 2.234 0.596 9.105
H 5.306 2.238 19.101
H -4.023 -7.521 8.411
H 5.825 0.861 15.155
H -0.718 -6.502 10.815
H -1.074 6.880 15.159
H -0.924 -1.552 7.329
H -4.271 -1.017 9.074
H 2.273 6.346 13.414
H 2.629 -7.037 9.070
H 2.478 1.395 16.900
H 4.068 1.753 14.978
H -1.982 -7.111 12.211
H 0.443 7.828 14.313
H 0.580 -2.783 6.957
H -2.513 -1.910 9.252
H 3.536 6.955 12.018
H 1.112 -7.985 9.916
H 0.975 2.627 17.273
H 4.874 1.641 16.792
H -2.642 -7.012 10.338
H -0.123 6.091 13.528
H 1.000 -1.033 7.801
H -3.320 -1.798 7.438
H 4.197 6.856 13.891
H 1.677 -6.248 10.702
H 0.555 0.876 16.428
H 4.268 -0.057 15.926
H -2.202 -5.299 11.271
H 0.707 6.073 15.348
H 0.336 -1.031 5.914
H -2.714 -0.099 8.304
H 3.757 5.142 12.958
H 0.848 -6.230 8.882
H 1.219 0.874 18.315
H 2.075 -0.463 12.588
H -1.391 -4.763 15.166
H 2.560 9.097 17.230
H -0.134 -4.184 3.475
H -0.520 0.306 11.641
H 2.945 4.606 9.063
H -1.005 -9.254 7.000
H 1.689 4.027 20.755
H 3.902 -0.032 13.251
H -0.624 -5.438 13.457
H 0.767 8.401 16.714
H -0.936 -3.245 5.036
H -2.347 -0.125 10.978
H 2.179 5.281 10.772
H 0.787 -8.558 7.515
H 2.490 3.088 19.193
H 3.652 -1.566 11.957
H 0.336 -3.971 14.465
H 1.170 8.756 18.663
H -2.049 -3.533 3.374
H -2.097 1.409 12.272
H 1.219 3.814 9.765
H 0.384 -8.913 5.566
H 3.604 3.376 20.856
H 2.973 -1.688 13.865
H -1.438 -3.618 13.546
H 2.064 7.227 17.674
H -0.490 -2.234 3.374
H -1.419 1.532 10.364
H 2.992 3.461 10.684
H -0.510 -7.384 6.556
H 2.045 2.078 20.855
H -0.770 -2.154 11.169
H 4.847 -3.391 15.217
H -1.688 0.372 3.488
H 0.720 4.860 18.585
H 2.325 1.997 13.061
H -3.293 3.234 9.012
H 3.243 -0.528 20.741
H 0.834 -5.016 5.645
H 0.488 -3.718 10.938
H -0.855 -1.409 17.240
H -2.632 -0.477 5.061
H 6.108 5.291 15.220
H 1.067 3.562 13.292
H 2.409 1.252 6.989
H 4.187 0.320 19.169
H -4.553 -5.447 9.009
H 1.031 -1.856 10.364
H -0.374 -3.367 17.401
H -3.590 0.844 3.864
H 6.042 4.067 16.829
H 0.523 1.699 13.865
H 1.929 3.211 6.829
H 5.145 -1.000 20.365
H -4.488 -4.223 7.400
H -0.360 -2.829 9.340
H -0.497 -2.252 19.035
H -2.155 1.481 5.075
H 6.121 3.287 15.008
H 1.914 2.672 14.889
H 2.051 2.096 5.194
H 3.710 -1.638 19.154
H -4.567 -3.443 9.221
N -1.596 3.994 14.883
N -0.639 1.356 7.701
N 6.870 -0.271 17.666
N -1.526 -5.393 8.209
N 3.150 -4.151 9.347
N 2.194 -1.513 16.528
N -5.316 0.115 6.564
N 3.080 5.236 16.020
N 2.985 -4.588 12.440
N 0.017 -0.855 14.379
N -4.731 -2.669 5.261
N 4.837 7.800 16.378
N -1.431 4.432 11.789
N 1.538 0.699 9.850
N 6.285 2.513 18.968
N -3.283 -7.957 7.851
```



| no. | raw total energy (Ha/atom) | size of the total moment (μB/f.u.) |
| --- | --- | --- |
| 1 | -0.117 | 0.00 |
| 2 | -0.236 | 1.41 |
| 3 | -0.172 | 0.00 |